VASP calculation (SCAN) on a crystal of MgTl2AsAu relaxed with PBEsol.

Summary:
**Energy of formation**: 234 meV per atom

a = 5.282 Å, b = 5.282 Å, c = 5.078 Å
α = 90.00°, β = 90.00°, γ = 90.00°
Space group P4/mmm (No. 123)
One atom of each set of equivalent atoms:
Mg (0.000, 0.000, 0.000)
Tl (0.000, 0.500, 0.500)
As (0.500, 0.500, 0.000)
Au (0.000, 0.000, 0.500)